Entry 1:
Computed, not measured: an optimized crystal structure of K5TlS4 at the PBE level of DFT.

Cell lengths 9.9838, 9.9838, 8.2106 Å; angles 114.22, 114.22, 26.10 degrees
With the nearest neighbours (Å) after each atom.
Sites, in units of the cell vectors:
K 0.0000 0.0000 0.0000  4 S 3.17
K 0.3294 0.3294 0.0870  4 S 3.01-3.33
K 0.3293 0.3293 0.5710  4 S 3.01-3.33
K 0.6707 0.6707 0.4290  4 S 3.01-3.33
K 0.6706 0.6706 0.9130  4 S 3.01-3.33
Tl 0.0000 0.0000 0.5000  6 S 2.93-3.24
S 0.1839 0.1839 0.6842  6 K 3.01-3.33, 1 Tl 3.24
S 0.5001 0.5001 0.2716  2 Tl 2.93, 4 K 3.01-3.17
S 0.4999 0.4999 0.7284  2 Tl 2.93, 4 K 3.01-3.17
S 0.8161 0.8161 0.3158  6 K 3.01-3.33, 1 Tl 3.24

Properties
ΔE_f (raw): -741.2 meV per atom



Entry 2:
Computed, not measured: an optimized crystal structure of K6GeBr8 at the PBE level of DFT.

Cell lengths 8.6049, 8.6049, 8.6049 Å; angles 69.42, 69.42, 69.42 degrees
With the nearest neighbours (Å) after each atom.
Sites, in units of the cell vectors:
K 0.0214 0.4413 0.8010  7 Br 3.33-3.64
K 0.1990 0.9786 0.5587  7 Br 3.33-3.64
K 0.4413 0.8010 0.0214  7 Br 3.33-3.64
K 0.5587 0.1990 0.9786  7 Br 3.33-3.64
K 0.8010 0.0214 0.4413  7 Br 3.33-3.64
K 0.9786 0.5587 0.1990  7 Br 3.33-3.64
Ge 0.5000 0.5000 0.5000  6 Br 2.87
Br 0.1589 0.1589 0.1589  6 K 3.33-3.47
Br 0.1815 0.6608 0.4033  1 Ge 2.87
Br 0.3392 0.5967 0.8185  1 Ge 2.87
Br 0.4033 0.1815 0.6608  1 Ge 2.87
Br 0.5967 0.8185 0.3392  1 Ge 2.87
Br 0.6608 0.4033 0.1815  1 Ge 2.87
Br 0.8185 0.3392 0.5967  1 Ge 2.87
Br 0.8411 0.8411 0.8411  6 K 3.33-3.47

Properties
ΔE_f (raw): -1482.1 meV per atom



Entry 3:
Computed, not measured: an optimized crystal structure of PmPr5Sm7 at the PBE level of DFT.

Cell lengths 8.9026, 8.9026, 8.9026 Å; angles 134.39, 101.77, 95.53 degrees
With the nearest neighbours (Å) after each atom.
Sites, in units of the cell vectors:
Pm 0.0000 0.0000 0.0000  7 Sm 3.64-3.97, 4 Pr 3.79
Pr 0.0316 0.0333 0.4548  2 Pr 3.15-3.20, 3 Sm 3.44-3.48
Pr 0.0316 0.5768 0.9983  2 Pr 3.15-3.20, 3 Sm 3.44-3.48
Pr 0.5785 0.0333 0.0017  2 Pr 3.15-3.20, 3 Sm 3.44-3.48
Pr 0.5785 0.5768 0.5452  2 Pr 3.15-3.20, 3 Sm 3.44-3.48
Pr 0.7624 0.2624 0.5000  4 Pr 3.20, 2 Sm 3.29
Sm 0.2123 0.5436 0.6687  5 Sm 3.47-3.85, 5 Pr 3.48-3.86
Sm 0.2866 0.7866 0.5000  6 Sm 3.46-3.68, 4 Pr 3.46
Sm 0.3038 0.3038 0.0000  3 Sm 3.46-3.58, 4 Pr 3.60, 1 Pm 3.64
Sm 0.3659 0.0447 0.3212  5 Pr 3.29-3.68, 1 Pm 3.65
Sm 0.6030 0.6030 0.0000  3 Sm 3.58-3.79, 6 Pr 3.85-3.94
Sm 0.7235 0.0447 0.6788  5 Pr 3.29-3.68, 1 Pm 3.65
Sm 0.8749 0.5436 0.3313  5 Sm 3.47-3.85, 5 Pr 3.48-3.86

Properties
Uncorrected energy: -4.5109 eV/atom



| no. | DOS(E_F) (states/eV per atom) |
| --- | --- |
| 1 | 0.3250 |
| 2 | 0.0000 |
| 3 | 1.6892 |